Entry 1:
PPb4Se after structural relaxation, computed with PBE.

abc: 6.351 6.351 6.351
angles: 60.00 60.00 60.00
Element x y z (fractional)
Pb  0.375  0.375  0.876
Pb  0.375  0.876  0.375
Pb  0.375  0.375  0.375
Pb  0.876  0.375  0.375
P  0.000  0.000  0.000
Se  0.750  0.750  0.750

total magnetization = 0.00 Bohr magnetons per cell
symmetry = F-43m (216)
formation energy (no corrections) = 537 meV per atom

***

Entry 2:
Pm2ZnF after structural relaxation, computed with PBE.

abc: 3.422 3.422 9.944
angles: 80.09 80.09 60.00
Element x y z (fractional)
F  0.500  0.500  0.500
Zn  0.000  0.000  0.000
Pm  0.105  0.105  0.686
Pm  0.895  0.895  0.314

total magnetization = 0.00 Bohr magnetons per cell
symmetry = R-3m (166)
formation energy (no corrections) = -808 meV per atom
ΔE to the lowest computed polymorph = 25.1 kJ per mole of atoms

***

Entry 3:
AlReSi after structural relaxation, computed with PBE.

abc: 4.089 4.089 3.145
angles: 90.00 90.00 120.00
Element x y z (fractional)
Re  0.667  0.333  0.500
Al  0.000  0.000  0.000
Si  0.333  0.667  0.501

total magnetization = 0.00 Bohr magnetons per cell
symmetry = P-6m2 (187)
formation energy (no corrections) = -22 meV per atom

***

Entry 4:
Cs2HPtI after structural relaxation, computed with PBE.

abc: 6.766 6.766 3.700
angles: 90.00 90.00 90.00
Element x y z (fractional)
I  0.500  0.500  0.500
Cs  0.000  0.500  0.000
Pt  0.000  0.000  0.000
H  0.000  0.000  0.500
Cs  0.500  0.000  0.000

total magnetization = 0.00 Bohr magnetons per cell
symmetry = P4/mmm (123)
uncorrected energy = -3.02 eV per atom

***

Entry 5:
CaGdYSc after structural relaxation, computed with PBE.

abc: 5.638 5.638 5.638
angles: 60.00 60.00 60.00
Last column: magnetic moment on the atom in μB.
Element x y z (fractional)
Sc  0.750  0.750  0.750  0.04
Y  0.000  0.000  0.000  0.04
Gd  0.500  0.500  0.500  -7.14
Ca  0.250  0.250  0.250  0.00

total magnetization = 7.29 Bohr magnetons per cell
symmetry = F-43m (216)
formation enthalpy at 0 K = 163 meV per atom

***

Entry 6:
GdScCo after structural relaxation, computed with PBE.

abc: 4.554 4.554 4.554
angles: 60.00 60.00 60.00
Last column: magnetic moment on the atom in μB.
Element x y z (fractional)
Gd  0.000  0.000  0.000  -7.14
Sc  0.500  0.500  0.500  -0.12
Co  0.250  0.250  0.250  0.05

total magnetization = 7.49 Bohr magnetons per cell
symmetry = F-43m (216)
formation enthalpy at 0 K = -57 meV per atom
ΔE to the lowest computed polymorph = 7.8 kJ per mole of atoms

***

Entry 7:
BaTaSe2 after structural relaxation, computed with PBE.

abc: 4.466 4.466 7.389
angles: 76.35 76.35 49.01
Element x y z (fractional)
Ta  0.488  0.488  0.701
Se  0.814  0.814  0.579
Se  0.986  0.986  0.955
Ba  0.211  0.211  0.265

total magnetization = 0.00 Bohr magnetons per cell
symmetry = Cm (8)
formation energy (no corrections) = -763 meV per atom
ΔE to the lowest computed polymorph = 5.8 kJ per mole of atoms

***

Entry 8:
Pm2YTe after structural relaxation, computed with PBE.

abc: 3.988 3.988 10.158
angles: 78.68 78.68 60.00
Last column: magnetic moment on the atom in μB.
Element x y z (fractional)
Pm  0.072  0.072  0.784  0.05
Te  0.667  0.667  0.000  0.00
Pm  0.262  0.262  0.215  0.00
Y  0.500  0.500  0.501  0.07

total magnetization = 0.30 Bohr magnetons per cell
symmetry = R3m (160)
formation energy (no corrections) = -555 meV per atom
ΔE to the lowest computed polymorph = 12.5 kJ per mole of atoms

***

Entry 9:
La2RhO after structural relaxation, computed with PBE.

abc: 3.947 3.947 8.258
angles: 76.18 76.18 60.00
Element x y z (fractional)
La  0.098  0.098  0.706
La  0.274  0.274  0.178
O  0.459  0.459  0.622
Rh  0.669  0.669  0.994

total magnetization = 0.00 Bohr magnetons per cell
symmetry = R3m (160)
formation energy (no corrections) = -1495 meV per atom

***

Entry 10:
Cr2HgPb after structural relaxation, computed with PBE.

abc: 4.891 4.891 3.431
angles: 90.00 90.00 90.00
Last column: magnetic moment on the atom in μB.
Element x y z (fractional)
Hg  0.500  0.000  0.500  0.01
Cr  0.500  0.500  0.000  3.72
Pb  0.000  0.500  0.500  -0.09
Cr  0.000  0.000  0.000  3.72

total magnetization = 8.13 Bohr magnetons per cell
symmetry = P4/mmm (123)
formation enthalpy at 0 K = 571 meV per atom
ΔE to the lowest computed polymorph = 19.0 kJ per mole of atoms

***

Entry 11:
InTc2Te after structural relaxation, computed with PBE.

abc: 4.885 3.161 4.777
angles: 89.98 90.00 90.00
Element x y z (fractional)
In  0.500  0.875  0.743
Te  0.000  0.375  0.489
Tc  0.500  0.375  0.225
Tc  0.000  0.875  0.043

total magnetization = 0.00 Bohr magnetons per cell
symmetry = Pmm2 (25)
formation energy (no corrections) = 403 meV per atom
ΔE to the lowest computed polymorph = 20.0 kJ per mole of atoms

***

Entry 12:
LiAu2Cl8 after structural relaxation, computed with PBE.

abc: 6.940 6.940 7.907
angles: 116.03 116.03 90.00
Element x y z (fractional)
Cl  0.948  0.784  0.238
Cl  0.216  0.052  0.762
Li  0.500  0.500  0.000
Cl  0.290  0.454  0.238
Cl  0.052  0.546  0.762
Au  0.750  0.250  0.500
Cl  0.710  0.216  0.762
Cl  0.546  0.710  0.762
Cl  0.454  0.948  0.238
Au  0.250  0.750  0.500
Cl  0.784  0.290  0.238

total magnetization = 0.30 Bohr magnetons per cell
symmetry = I422 (97)
formation energy (no corrections) = -411 meV per atom

***

Entry 13:
Ho2Er3Zr after structural relaxation, computed with PBE.

abc: 3.356 8.715 12.740
angles: 77.81 82.43 78.90
Element x y z (fractional)
Zr  0.566  0.515  0.353
Er  0.034  0.151  0.780
Er  0.966  0.849  0.220
Ho  0.822  0.479  0.877
Ho  0.178  0.521  0.123
Er  0.599  0.831  0.971
Er  0.253  0.197  0.297
Zr  0.434  0.485  0.647
Ho  0.649  0.171  0.532
Er  0.401  0.169  0.029
Er  0.747  0.803  0.703
Ho  0.351  0.829  0.468

total magnetization = 0.00 Bohr magnetons per cell
symmetry = C2/m (12)
formation enthalpy at 0 K = 175 meV per atom

***

Entry 14:
HgH2N after structural relaxation, computed with PBE.

abc: 2.760 2.760 5.969
angles: 76.63 76.63 60.00
Element x y z (fractional)
H  0.827  0.827  0.518
Hg  0.000  0.000  0.000
H  0.173  0.173  0.482
N  0.500  0.500  0.500

total magnetization = 0.01 Bohr magnetons per cell
symmetry = R-3m (166)
ΔE to the lowest computed polymorph = 47.3 kJ per mole of atoms

***

Entry 15:
La2BeTlCu after structural relaxation, computed with PBE.

abc: 6.082 4.386 6.082
angles: 90.00 90.00 90.00
Element x y z (fractional)
Cu  0.500  0.500  0.500
Tl  0.000  0.000  0.000
La  0.000  0.000  0.500
La  0.500  0.000  0.000
Be  0.000  0.500  0.000

total magnetization = 0.02 Bohr magnetons per cell
symmetry = P4/mmm (123)
formation enthalpy at 0 K = 600 meV per atom

***

Entry 16:
PaBiSb2 after structural relaxation, computed with PBE.

abc: 4.073 4.073 10.275
angles: 78.57 78.57 60.00
Element x y z (fractional)
Sb  0.102  0.102  0.695
Sb  0.898  0.898  0.305
Bi  0.000  0.000  0.000
Pa  0.500  0.500  0.500

total magnetization = 0.00 Bohr magnetons per cell
symmetry = R-3m (166)
formation energy (no corrections) = 144 meV per atom
ΔE to the lowest computed polymorph = 36.5 kJ per mole of atoms

***

Entry 17:
CaPr6Dy2Y after structural relaxation, computed with PBE.

abc: 9.951 9.097 9.097
angles: 118.72 94.34 94.34
Element x y z (fractional)
Y  0.750  0.026  0.974
Ca  0.750  0.598  0.402
Pr  0.948  0.884  0.235
Pr  0.377  0.498  0.288
Dy  0.957  0.702  0.802
Pr  0.623  0.502  0.712
Dy  0.043  0.298  0.198
Pr  0.552  0.765  0.116
Pr  0.123  0.712  0.502
Y  0.250  0.974  0.026
Ca  0.250  0.402  0.598
Pr  0.052  0.116  0.765
Pr  0.822  0.432  0.973
Pr  0.322  0.973  0.432
Dy  0.457  0.802  0.702
Pr  0.877  0.288  0.498
Dy  0.543  0.198  0.298
Pr  0.678  0.027  0.568
Pr  0.178  0.568  0.027
Pr  0.448  0.235  0.884

total magnetization = 0.00 Bohr magnetons per cell
symmetry = C2/c (15)
formation enthalpy at 0 K = 127 meV per atom

***

Entry 18:
Y3SnS after structural relaxation, computed with PBE.

abc: 5.157 5.157 5.157
angles: 90.00 90.00 90.00
Element x y z (fractional)
Y  0.000  0.000  0.500
S  0.000  0.000  0.000
Sn  0.500  0.500  0.500
Y  0.500  0.000  0.000
Y  0.000  0.500  0.000

total magnetization = 0.00 Bohr magnetons per cell
symmetry = Pm-3m (221)
formation energy (no corrections) = -932 meV per atom
ΔE to the lowest computed polymorph = 0.0 kJ per mole of atoms

***

Entry 19:
Na2CuSiH6 after structural relaxation, computed with PBE.

abc: 5.122 5.122 5.142
angles: 120.06 120.06 89.95
Element x y z (fractional)
H  0.239  0.240  0.478
H  0.239  0.240  0.000
H  0.760  0.761  0.521
Na  0.750  0.251  0.500
Si  0.000  0.000  0.000
Na  0.250  0.750  0.500
H  0.761  0.761  0.000
H  0.760  0.240  0.000
Cu  0.500  0.501  0.000
H  0.239  0.761  0.000

total magnetization = 0.00 Bohr magnetons per cell
symmetry = C2/m (12)
uncorrected energy = -3.22 eV per atom

***

Entry 20:
LiLaGe after structural relaxation, computed with PBE.

abc: 4.893 4.893 4.893
angles: 60.00 60.00 60.00
Element x y z (fractional)
La  0.500  0.500  0.500
Li  0.000  0.000  0.000
Ge  0.250  0.250  0.250

total magnetization = 0.00 Bohr magnetons per cell
symmetry = F-43m (216)
formation enthalpy at 0 K = -568 meV per atom